Record 1
Computed, not measured: an optimized crystal structure of FeNi2AuC at the GGA-PBE level of DFT.

Structure (CIF):
```
data_FeNi2AuC
_cell_length_a 3.857
_cell_length_b 3.857
_cell_length_c 3.892
_cell_angle_alpha 90.00
_cell_angle_beta 90.00
_cell_angle_gamma 90.00
_symmetry_space_group_name_H-M 'P 1'
_symmetry_Int_Tables_number 1
_symmetry_space_group_name_Hall 'P 1'
loop_
_atom_site_label
_atom_site_type_symbol
_atom_site_fract_x
_atom_site_fract_y
_atom_site_fract_z
_atom_site_occupancy
Ni1 Ni 0.000 0.500 0.000 1
C1 C 0.000 0.000 0.000 1
Au1 Au 0.500 0.500 0.500 1
Fe1 Fe 0.000 0.000 0.500 1
Ni2 Ni 0.500 0.000 0.000 1
```

Results
- volume (Å³ per cell) = 57.9
- formation enthalpy at 0 K (meV per atom) = 134

***

Record 2
Computed, not measured: an optimized crystal structure of Ho2Ag3Sn at the GGA-PBE level of DFT.

Structure (CIF):
```
data_Ho2Ag3Sn
_cell_length_a 5.890
_cell_length_b 5.890
_cell_length_c 9.608
_cell_angle_alpha 113.92
_cell_angle_beta 113.92
_cell_angle_gamma 71.18
_symmetry_space_group_name_H-M 'P 1'
_symmetry_Int_Tables_number 1
_symmetry_space_group_name_Hall 'P 1'
loop_
_atom_site_label
_atom_site_type_symbol
_atom_site_fract_x
_atom_site_fract_y
_atom_site_fract_z
_atom_site_occupancy
Ag1 Ag 0.166 0.166 0.835 1
Sn1 Sn 0.335 0.335 0.669 1
Ho1 Ho 0.750 0.250 0.500 1
Ho2 Ho 0.243 0.757 0.000 1
Ag2 Ag 0.669 0.669 0.835 1
Ho3 Ho 0.757 0.243 0.000 1
Ag3 Ag 0.833 0.833 0.667 1
Ag4 Ag 0.167 0.167 0.333 1
Ag5 Ag 0.331 0.331 0.165 1
Sn2 Sn 0.665 0.665 0.331 1
Ag6 Ag 0.834 0.834 0.165 1
Ho4 Ho 0.250 0.750 0.500 1
```

Results
- volume (Å³ per cell) = 273.6
- formation enthalpy at 0 K (meV per atom) = -370

***

Record 3
Computed, not measured: an optimized crystal structure of Cs2AgGe at the GGA-PBE level of DFT.

Structure (CIF):
```
data_Cs2AgGe
_cell_length_a 7.035
_cell_length_b 7.035
_cell_length_c 6.955
_cell_angle_alpha 90.00
_cell_angle_beta 90.00
_cell_angle_gamma 108.06
_symmetry_space_group_name_H-M 'P 1'
_symmetry_Int_Tables_number 1
_symmetry_space_group_name_Hall 'P 1'
loop_
_atom_site_label
_atom_site_type_symbol
_atom_site_fract_x
_atom_site_fract_y
_atom_site_fract_z
_atom_site_occupancy
Cs1 Cs 0.982 0.323 0.750 1
Cs2 Cs 0.018 0.677 0.250 1
Cs3 Cs 0.677 0.018 0.250 1
Cs4 Cs 0.323 0.982 0.750 1
Ag1 Ag 0.500 0.500 0.000 1
Ag2 Ag 0.500 0.500 0.500 1
Ge1 Ge 0.268 0.268 0.250 1
Ge2 Ge 0.732 0.732 0.750 1
```

Results
- volume (Å³ per cell) = 327.3
- formation enthalpy at 0 K (meV per atom) = 5
- energy above the lowest structure with this stoichiometry (eV per atom) = 0.0000

***

Record 4
Computed, not measured: an optimized crystal structure of SiTcPtC2 at the GGA-PBE level of DFT.

Structure (CIF):
```
data_SiTcPtC2
_cell_length_a 3.723
_cell_length_b 4.816
_cell_length_c 3.723
_cell_angle_alpha 90.00
_cell_angle_beta 90.00
_cell_angle_gamma 90.00
_symmetry_space_group_name_H-M 'P 1'
_symmetry_Int_Tables_number 1
_symmetry_space_group_name_Hall 'P 1'
loop_
_atom_site_label
_atom_site_type_symbol
_atom_site_fract_x
_atom_site_fract_y
_atom_site_fract_z
_atom_site_occupancy
Pt1 Pt 0.000 0.500 0.000 1
Tc1 Tc 0.500 0.500 0.500 1
C1 C 0.000 0.000 0.500 1
C2 C 0.500 0.000 0.000 1
Si1 Si 0.000 0.000 0.000 1
```

Results
- raw formation energy (eV per atom) = 1.82
- volume (Å³ per cell) = 66.8

***

Record 5
Computed, not measured: an optimized crystal structure of YBiPtAu at the GGA-PBE level of DFT.

Structure (CIF):
```
data_YBiPtAu
_cell_length_a 5.013
_cell_length_b 5.013
_cell_length_c 5.013
_cell_angle_alpha 60.00
_cell_angle_beta 60.00
_cell_angle_gamma 60.00
_symmetry_space_group_name_H-M 'P 1'
_symmetry_Int_Tables_number 1
_symmetry_space_group_name_Hall 'P 1'
loop_
_atom_site_label
_atom_site_type_symbol
_atom_site_fract_x
_atom_site_fract_y
_atom_site_fract_z
_atom_site_occupancy
Pt1 Pt 0.750 0.750 0.750 1
Bi1 Bi 0.500 0.500 0.500 1
Au1 Au 0.250 0.250 0.250 1
Y1 Y 0.000 0.000 0.000 1
```

Results
- volume (Å³ per cell) = 89.1
- formation enthalpy at 0 K (meV per atom) = -657

***

Record 6
Computed, not measured: an optimized crystal structure of KTa2Br at the GGA-PBE level of DFT.

Structure (CIF):
```
data_KTa2Br
_cell_length_a 3.085
_cell_length_b 3.085
_cell_length_c 11.287
_cell_angle_alpha 90.00
_cell_angle_beta 90.00
_cell_angle_gamma 120.75
_symmetry_space_group_name_H-M 'P 1'
_symmetry_Int_Tables_number 1
_symmetry_space_group_name_Hall 'P 1'
loop_
_atom_site_label
_atom_site_type_symbol
_atom_site_fract_x
_atom_site_fract_y
_atom_site_fract_z
_atom_site_occupancy
Br1 Br 0.500 0.500 0.250 1
K1 K 0.500 0.500 0.750 1
Ta1 Ta 0.000 0.000 0.041 1
Ta2 Ta 0.000 0.000 0.459 1
```

Results
- raw formation energy (eV per atom) = 1.03
- volume (Å³ per cell) = 92.3
- energy above the lowest structure with this stoichiometry (eV per atom) = 0.8283

***

Record 7
Computed, not measured: an optimized crystal structure of Cs4Ho3ThTe8 at the GGA-PBE level of DFT.

Structure (CIF):
```
data_Cs4Ho3ThTe8
_cell_length_a 9.072
_cell_length_b 10.387
_cell_length_c 9.075
_cell_angle_alpha 115.93
_cell_angle_beta 119.99
_cell_angle_gamma 90.00
_symmetry_space_group_name_H-M 'P 1'
_symmetry_Int_Tables_number 1
_symmetry_space_group_name_Hall 'P 1'
loop_
_atom_site_label
_atom_site_type_symbol
_atom_site_fract_x
_atom_site_fract_y
_atom_site_fract_z
_atom_site_occupancy
Te1 Te 0.233 0.693 0.960 1
Ho1 Ho 0.500 0.500 0.500 1
Te2 Te 0.767 0.307 0.040 1
Cs1 Cs 0.500 0.000 0.500 1
Th1 Th 0.000 0.500 0.000 1
Ho2 Ho 0.000 0.500 0.500 1
Te3 Te 0.270 0.311 0.541 1
Te4 Te 0.274 0.307 0.040 1
Cs2 Cs 0.000 0.000 0.500 1
Te5 Te 0.233 0.693 0.466 1
Te6 Te 0.726 0.693 0.960 1
Ho3 Ho 0.500 0.500 0.000 1
Te7 Te 0.767 0.307 0.534 1
Cs3 Cs 0.500 0.000 0.000 1
Cs4 Cs 0.000 0.000 0.000 1
Te8 Te 0.730 0.689 0.459 1
```

Results
- raw formation energy (eV per atom) = -1.32
- volume (Å³ per cell) = 639.3

***

Record 8
Computed, not measured: an optimized crystal structure of Fe6Ni10B at the GGA-PBE level of DFT.

Structure (CIF):
```
data_Fe6Ni10B
_cell_length_a 4.656
_cell_length_b 6.948
_cell_length_c 6.948
_cell_angle_alpha 120.00
_cell_angle_beta 90.00
_cell_angle_gamma 90.00
_symmetry_space_group_name_H-M 'P 1'
_symmetry_Int_Tables_number 1
_symmetry_space_group_name_Hall 'P 1'
loop_
_atom_site_label
_atom_site_type_symbol
_atom_site_fract_x
_atom_site_fract_y
_atom_site_fract_z
_atom_site_occupancy
Ni1 Ni 0.772 0.223 0.000 1
Fe1 Fe 0.744 0.587 0.000 1
Fe2 Fe 0.744 0.413 0.413 1
Ni2 Ni 0.000 0.333 0.667 1
Ni3 Ni 0.000 0.667 0.333 1
Ni4 Ni 0.772 0.777 0.777 1
Ni5 Ni 0.228 0.777 0.000 1
Ni6 Ni 0.772 0.000 0.223 1
Fe3 Fe 0.256 0.587 0.587 1
B1 B 0.500 0.000 0.000 1
Fe4 Fe 0.256 0.000 0.413 1
Fe5 Fe 0.744 0.000 0.587 1
Ni7 Ni 0.228 0.223 0.223 1
Ni8 Ni 0.228 0.000 0.777 1
Ni9 Ni 0.500 0.667 0.333 1
Ni10 Ni 0.500 0.333 0.667 1
Fe6 Fe 0.256 0.413 0.000 1
```

Results
- volume (Å³ per cell) = 194.6
- formation enthalpy at 0 K (meV per atom) = 146

***

Record 9
Computed, not measured: an optimized crystal structure of Tm4AlIr at the GGA-PBE level of DFT.

Structure (CIF):
```
data_Tm4AlIr
_cell_length_a 9.416
_cell_length_b 9.416
_cell_length_c 9.416
_cell_angle_alpha 60.00
_cell_angle_beta 60.00
_cell_angle_gamma 60.00
_symmetry_space_group_name_H-M 'P 1'
_symmetry_Int_Tables_number 1
_symmetry_space_group_name_Hall 'P 1'
loop_
_atom_site_label
_atom_site_type_symbol
_atom_site_fract_x
_atom_site_fract_y
_atom_site_fract_z
_atom_site_occupancy
Ir1 Ir 0.609 0.609 0.174 1
Tm1 Tm 0.188 0.812 0.188 1
Tm2 Tm 0.554 0.946 0.946 1
Tm3 Tm 0.398 0.398 0.807 1
Tm4 Tm 0.398 0.807 0.398 1
Ir2 Ir 0.174 0.609 0.609 1
Al1 Al 0.485 0.172 0.172 1
Tm5 Tm 0.398 0.398 0.398 1
Tm6 Tm 0.946 0.554 0.946 1
Tm7 Tm 0.812 0.188 0.812 1
Tm8 Tm 0.946 0.946 0.554 1
Al2 Al 0.172 0.485 0.172 1
Tm9 Tm 0.807 0.398 0.398 1
Tm10 Tm 0.946 0.554 0.554 1
Tm11 Tm 0.812 0.188 0.188 1
Tm12 Tm 0.554 0.946 0.554 1
Tm13 Tm 0.554 0.554 0.946 1
Tm14 Tm 0.188 0.188 0.812 1
Ir3 Ir 0.609 0.174 0.609 1
Al3 Al 0.172 0.172 0.172 1
Ir4 Ir 0.609 0.609 0.609 1
Tm15 Tm 0.812 0.812 0.188 1
Tm16 Tm 0.188 0.812 0.812 1
Al4 Al 0.172 0.172 0.485 1
```

Results
- volume (Å³ per cell) = 590.3
- formation enthalpy at 0 K (meV per atom) = -581
- energy above the lowest structure with this stoichiometry (eV per atom) = 0.0000

***

Record 10
Computed, not measured: an optimized crystal structure of Nd5Sm2Er3 at the GGA-PBE level of DFT.

Structure (CIF):
```
data_Nd5Sm2Er3
_cell_length_a 6.864
_cell_length_b 12.474
_cell_length_c 12.474
_cell_angle_alpha 44.51
_cell_angle_beta 74.03
_cell_angle_gamma 74.03
_symmetry_space_group_name_H-M 'P 1'
_symmetry_Int_Tables_number 1
_symmetry_space_group_name_Hall 'P 1'
loop_
_atom_site_label
_atom_site_type_symbol
_atom_site_fract_x
_atom_site_fract_y
_atom_site_fract_z
_atom_site_occupancy
Nd1 Nd 0.750 0.500 0.500 1
Nd2 Nd 0.497 0.753 0.753 1
Er1 Er 0.750 0.000 0.000 1
Er2 Er 0.619 0.635 0.128 1
Nd3 Nd 0.874 0.530 0.723 1
Sm1 Sm 0.622 0.975 0.782 1
Sm2 Sm 0.378 0.025 0.218 1
Er3 Er 0.119 0.128 0.635 1
Er4 Er 0.381 0.365 0.872 1
Nd4 Nd 0.503 0.247 0.247 1
Sm3 Sm 0.122 0.782 0.975 1
Nd5 Nd 0.126 0.470 0.277 1
Nd6 Nd 0.250 0.500 0.500 1
Nd7 Nd 0.626 0.277 0.470 1
Er5 Er 0.250 0.000 0.000 1
Sm4 Sm 0.878 0.218 0.025 1
Nd8 Nd 0.997 0.753 0.753 1
Er6 Er 0.881 0.872 0.365 1
Nd9 Nd 0.374 0.723 0.530 1
Nd10 Nd 0.003 0.247 0.247 1
```

Results
- volume (Å³ per cell) = 714.8
- formation enthalpy at 0 K (meV per atom) = 369
- energy above the lowest structure with this stoichiometry (eV per atom) = 0.1853

***

Record 11
Computed, not measured: an optimized crystal structure of Sr4Y at the GGA-PBE level of DFT.

Structure (CIF):
```
data_Sr4Y
_cell_length_a 7.053
_cell_length_b 7.053
_cell_length_c 7.053
_cell_angle_alpha 99.89
_cell_angle_beta 99.89
_cell_angle_gamma 131.02
_symmetry_space_group_name_H-M 'P 1'
_symmetry_Int_Tables_number 1
_symmetry_space_group_name_Hall 'P 1'
loop_
_atom_site_label
_atom_site_type_symbol
_atom_site_fract_x
_atom_site_fract_y
_atom_site_fract_z
_atom_site_occupancy
Sr1 Sr 0.395 0.206 0.601 1
Sr2 Sr 0.794 0.395 0.190 1
Y1 Y 0.000 0.000 0.000 1
Sr3 Sr 0.605 0.794 0.399 1
Sr4 Sr 0.206 0.605 0.810 1
```

Results
- volume (Å³ per cell) = 240.9
- formation enthalpy at 0 K (meV per atom) = 163
- energy above the lowest structure with this stoichiometry (eV per atom) = 0.0000

***

Record 12
Computed, not measured: an optimized crystal structure of GdYEr2 at the GGA-PBE level of DFT.

Structure (CIF):
```
data_GdYEr2
_cell_length_a 3.542
_cell_length_b 3.542
_cell_length_c 10.014
_cell_angle_alpha 90.00
_cell_angle_beta 90.00
_cell_angle_gamma 90.00
_symmetry_space_group_name_H-M 'P 1'
_symmetry_Int_Tables_number 1
_symmetry_space_group_name_Hall 'P 1'
loop_
_atom_site_label
_atom_site_type_symbol
_atom_site_fract_x
_atom_site_fract_y
_atom_site_fract_z
_atom_site_occupancy
Gd1 Gd 0.500 0.500 0.000 1
Y1 Y 0.500 0.500 0.500 1
Er1 Er 0.000 0.000 0.750 1
Er2 Er 0.000 0.000 0.250 1
```

Results
- volume (Å³ per cell) = 125.7
- formation enthalpy at 0 K (meV per atom) = 28
- energy above the lowest structure with this stoichiometry (eV per atom) = 0.0017

***

What is the formula in the fifth record? YBiPtAu

***

Which formula does entry 10 have? Nd5Sm2Er3

***

What did the eighth record say?
Computed, not measured: an optimized crystal structure of Fe6Ni10B at the GGA-PBE level of DFT.

Structure (CIF):
```
data_Fe6Ni10B
_cell_length_a 4.656
_cell_length_b 6.948
_cell_length_c 6.948
_cell_angle_alpha 120.00
_cell_angle_beta 90.00
_cell_angle_gamma 90.00
_symmetry_space_group_name_H-M 'P 1'
_symmetry_Int_Tables_number 1
_symmetry_space_group_name_Hall 'P 1'
loop_
_atom_site_label
_atom_site_type_symbol
_atom_site_fract_x
_atom_site_fract_y
_atom_site_fract_z
_atom_site_occupancy
Ni1 Ni 0.772 0.223 0.000 1
Fe1 Fe 0.744 0.587 0.000 1
Fe2 Fe 0.744 0.413 0.413 1
Ni2 Ni 0.000 0.333 0.667 1
Ni3 Ni 0.000 0.667 0.333 1
Ni4 Ni 0.772 0.777 0.777 1
Ni5 Ni 0.228 0.777 0.000 1
Ni6 Ni 0.772 0.000 0.223 1
Fe3 Fe 0.256 0.587 0.587 1
B1 B 0.500 0.000 0.000 1
Fe4 Fe 0.256 0.000 0.413 1
Fe5 Fe 0.744 0.000 0.587 1
Ni7 Ni 0.228 0.223 0.223 1
Ni8 Ni 0.228 0.000 0.777 1
Ni9 Ni 0.500 0.667 0.333 1
Ni10 Ni 0.500 0.333 0.667 1
Fe6 Fe 0.256 0.413 0.000 1
```

Results
- volume (Å³ per cell) = 194.6
- formation enthalpy at 0 K (meV per atom) = 146